First-principles (GGA-PBE) data for a relaxed structure of TlNiOsPd, as listed in OQMD via LeMat-Bulk.

Space-group type: F-43m, No. 216
E (eV/atom): -5.474

a b c (Å): 6.3337 6.3337 6.3337
angles (deg): 90.00 90.00 90.00
Last column: nearest neighbours and their distance in Å.
Fractional coordinates of all 16 atoms:
Tl (0.0000, 0.0000, 0.0000)  4 Pd 2.74, 4 Ni 2.74
Tl (0.0000, 0.5000, 0.5000)  4 Pd 2.74, 4 Ni 2.74
Tl (0.5000, 0.0000, 0.5000)  4 Pd 2.74, 4 Ni 2.74
Tl (0.5000, 0.5000, 0.0000)  4 Pd 2.74, 4 Ni 2.74
Ni (0.2500, 0.2500, 0.2500)  4 Tl 2.74, 4 Os 2.74
Ni (0.2500, 0.7500, 0.7500)  4 Tl 2.74, 4 Os 2.74
Ni (0.7500, 0.2500, 0.7500)  4 Tl 2.74, 4 Os 2.74
Ni (0.7500, 0.7500, 0.2500)  4 Tl 2.74, 4 Os 2.74
Os (0.0000, 0.0000, 0.5000)  4 Ni 2.74, 4 Pd 2.74
Os (0.0000, 0.5000, 0.0000)  4 Ni 2.74, 4 Pd 2.74
Os (0.5000, 0.0000, 0.0000)  4 Ni 2.74, 4 Pd 2.74
Os (0.5000, 0.5000, 0.5000)  4 Ni 2.74, 4 Pd 2.74
Pd (0.2500, 0.2500, 0.7500)  4 Tl 2.74, 4 Os 2.74
Pd (0.2500, 0.7500, 0.2500)  4 Tl 2.74, 4 Os 2.74
Pd (0.7500, 0.2500, 0.2500)  4 Tl 2.74, 4 Os 2.74
Pd (0.7500, 0.7500, 0.7500)  4 Tl 2.74, 4 Os 2.74